Entry 1:
Computed, not measured: crystalline Na3Ce2VSe6 at its relaxed geometry at the GGA-PBE level of DFT.

The value obtained for the calculated total energy is -0.38130 Ry per atom. The formation energy (no corrections) comes out at -1.3669 eV per atom.

The structure belongs to space group C2/m (No. 12); the cell edges are 7.087, 12.283 and 7.404 Å and the angles 90.00°, 108.74° and 90.00°. The inequivalent atoms are Na at (0.000, 0.000, 0.000), Na at (0.000, 0.331, 0.000), Ce at (0.000, 0.166, 0.500), V at (0.000, 0.500, 0.500), Se at (0.231, 0.345, 0.727) and Se at (0.234, 0.500, 0.275).

***

Entry 2:
Computed, not measured: crystalline LiHg2Rh at its relaxed geometry at the GGA-PBE level of DFT.

The value obtained for the calculated total energy is -0.19394 Ry per atom. For the formation energy, the calculation gives -16.5 kJ per mole of atoms.

The structure belongs to space group P4/mmm (No. 123); the cell edges are 4.572, 4.572 and 3.330 Å and the angles 90.00°, 90.00° and 90.00°. The inequivalent atoms are Li at (0.000, 0.000, 0.000), Hg at (0.000, 0.500, 0.500) and Rh at (0.500, 0.500, 0.000).

***

Entry 3:
Computed, not measured: crystalline Sc3AuN at its relaxed geometry at the GGA-PBE level of DFT.

The value obtained for the calculated total energy is -0.51831 Ry per atom. The formation energy (no corrections) comes out at -0.9325 eV per atom.

The structure belongs to space group Imma (No. 74); the cell edges are 4.803, 12.293 and 6.571 Å and the angles 90.00°, 90.00° and 90.00°. The inequivalent atoms are Sc at (0.000, 0.119, 0.100), Sc at (0.000, 0.250, 0.595), Au at (0.000, 0.000, 0.500) and N at (0.000, 0.250, 0.907).

***

Entry 4:
Computed, not measured: crystalline Pr3Dy3MgS8 at its relaxed geometry at the GGA-PBE level of DFT.

The value obtained for the calculated total energy is -0.45213 Ry per atom. The formation energy (no corrections) comes out at -1.9676 eV per atom.

The structure belongs to space group R-3m (No. 166, hexagonal axes); the cell edges are 7.8973, 7.8973 and 19.8222 Å and the angles 90.00°, 90.00° and 120.00°. The inequivalent atoms are Pr at (0.0000, 0.5000, 0.0000), Dy at (0.0000, 0.5000, 0.5000), Mg at (0.0000, 0.0000, 0.5000), S at (0.0000, 0.0000, 0.2441) and S at (0.0090, 0.5045, 0.2423).

***

Entry 5:
Computed, not measured: crystalline CdSb2Te2 at its relaxed geometry at the GGA-PBE level of DFT.

The value obtained for the calculated total energy is -0.22276 Ry per atom. The relative energy among the computed polymorphs comes out at 0 meV/atom. The formation energy (no corrections) comes out at 0.0579 eV per atom.

The structure belongs to space group I4/mmm (No. 139); the cell edges are 6.124, 6.124 and 9.146 Å and the angles 90.00°, 90.00° and 90.00°. The inequivalent atoms are Cd at (0.000, 0.000, 0.000), Sb at (0.000, 0.000, 0.308) and Te at (0.000, 0.500, 0.250).

***

Entry 6:
Computed, not measured: crystalline PtPbW at its relaxed geometry at the GGA-PBE level of DFT.

The value obtained for the calculated total energy is -0.52259 Ry per atom. The relative energy among the computed polymorphs comes out at 75 meV/atom. For the formation energy, the calculation gives 44.1 kJ per mole of atoms.

The structure belongs to space group P3m1 (No. 156); the cell edges are 3.0463, 3.0463 and 7.2030 Å and the angles 90.00°, 90.00° and 120.00°. The inequivalent atoms are Pt at (0.0000, 0.0000, 0.0000), Pb at (0.3333, 0.6667, 0.6371) and W at (0.6667, 0.3333, 0.2799).

***

Entry 7:
Computed, not measured: crystalline Al5Sn at its relaxed geometry at the GGA-PBE level of DFT.

The value obtained for the calculated total energy is -0.27005 Ry per atom. For the formation energy, the calculation gives 10.8 kJ per mole of atoms.

The structure belongs to space group Cmmm (No. 65); the cell edges are 4.150, 12.724 and 4.200 Å and the angles 90.00°, 90.00° and 90.00°. The inequivalent atoms are Al at (0.000, 0.000, 0.000), Al at (0.000, 0.175, 0.500), Al at (0.000, 0.325, 0.000) and Sn at (0.000, 0.500, 0.500).

***

Entry 8:
Computed, not measured: crystalline La2YCu at its relaxed geometry at the GGA-PBE level of DFT.

The value obtained for the calculated total energy is -0.36070 Ry per atom. The relative energy among the computed polymorphs comes out at 271 meV/atom. For the formation energy, the calculation gives 18.9 kJ per mole of atoms.

The structure belongs to space group Fm-3m (No. 225); the cell edges are 7.755, 7.755 and 7.755 Å and the angles 90.00°, 90.00° and 90.00°. The inequivalent atoms are La at (0.250, 0.250, 0.250), Y at (0.000, 0.000, 0.000) and Cu at (0.000, 0.000, 0.500).

***

Entry 9:
Computed, not measured: crystalline Dy8AgBi2 at its relaxed geometry at the GGA-PBE level of DFT.

The value obtained for the calculated total energy is -0.33918 Ry per atom. For the formation energy, the calculation gives -29.2 kJ per mole of atoms.

The structure belongs to space group C2/m (No. 12); the cell edges are 18.024, 5.160 and 6.974 Å and the angles 90.00°, 93.94° and 90.00°. The inequivalent atoms are Dy at (0.030, 0.000, 0.250), Dy at (0.090, 0.500, 0.935), Dy at (0.161, 0.500, 0.406), Dy at (0.212, 0.000, 0.121), Ag at (0.000, 0.500, 0.500) and Bi at (0.160, 0.000, 0.670).

***

Entry 10:
Computed, not measured: crystalline NiAgCl2 at its relaxed geometry at the GGA-PBE level of DFT.

The value obtained for the calculated total energy is -0.21600 Ry per atom. The relative energy among the computed polymorphs comes out at 432 meV/atom. The formation energy (no corrections) comes out at 0.1426 eV per atom.

The structure belongs to space group Fm-3m (No. 225); the cell edges are 6.595, 6.595 and 6.595 Å and the angles 90.00°, 90.00° and 90.00°. The inequivalent atoms are Ni at (0.000, 0.000, 0.000), Ag at (0.000, 0.000, 0.500) and Cl at (0.250, 0.250, 0.250).

***

Entry 11:
Computed, not measured: crystalline Tb5PrMg6 at its relaxed geometry at the GGA-PBE level of DFT.

The value obtained for the calculated total energy is -0.23634 Ry per atom. For the formation energy, the calculation gives -8.7 kJ per mole of atoms.

The structure belongs to space group Cmmm (No. 65); the cell edges are 5.399, 16.208 and 7.629 Å and the angles 90.00°, 90.00° and 90.00°. The inequivalent atoms are Tb at (0.000, 0.000, 0.000), Tb at (0.000, 0.332, 0.500), Tb at (0.000, 0.335, 0.000), Pr at (0.000, 0.000, 0.500), Mg at (0.000, 0.168, 0.246) and Mg at (0.000, 0.500, 0.247).

***

Entry 12:
Computed, not measured: crystalline TaCrMoAs2 at its relaxed geometry at the GGA-PBE level of DFT.

The value obtained for the calculated total energy is -0.52124 Ry per atom. For the formation energy, the calculation gives 118.6 kJ per mole of atoms.

The structure belongs to space group P4/mmm (No. 123); the cell edges are 4.796, 4.796 and 4.567 Å and the angles 90.00°, 90.00° and 90.00°. The inequivalent atoms are Ta at (0.000, 0.000, 0.000), Cr at (0.500, 0.500, 0.000), Mo at (0.500, 0.500, 0.500) and As at (0.000, 0.500, 0.500).